# K2SiIr

A relaxed structure of K2SiIr (PBEsol, the Alexandria database).

For the raw formation energy, the calculation gives 0.668 eV/atom. For the volume, the calculation gives 79.3 Å³/cell. Its space-group type is No. 139.

Structure (POSCAR):
```
K2SiIr
1.0
3.8402 0.0000 0.0000
0.0000 3.8421 0.0000
-1.9201 -1.9210 5.3749
Ir K Si
1 2 1
direct
0.0000 0.5000 0.0000 Ir
0.7499 0.7499 0.4998 K
0.2501 0.2501 0.5002 K
0.5000 0.0000 0.0000 Si
```

***

# KZrSiIr2

A relaxed structure of KZrSiIr2 (PBEsol, the Alexandria database).

For the raw formation energy, the calculation gives 0.779 eV/atom. For the volume, the calculation gives 98.8 Å³/cell. Its space-group type is No. 123.

Structure (POSCAR):
```
KZrSiIr2
1.0
4.4410 0.0000 0.0000
0.0000 4.4410 0.0000
0.0000 0.0000 5.0079
Ir Zr Si K
2 1 1 1
direct
0.0000 0.5000 0.0000 Ir
0.5000 0.0000 0.0000 Ir
0.5000 0.5000 0.5000 Zr
0.0000 0.0000 0.0000 Si
0.0000 0.0000 0.5000 K
```

***

# K2SnIr

A relaxed structure of K2SnIr (PBEsol, the Alexandria database).

For the volume, the calculation gives 105.0 Å³/cell. The calculation puts the formation energy from the elements at 0.973 eV per atom. Its space-group type is No. 225.

Structure (POSCAR):
```
K2SnIr
1.0
5.2952 0.0000 0.0000
2.6476 4.5858 0.0000
2.6476 1.5286 4.3235
K Ir Sn
2 1 1
direct
0.7500 0.7500 0.7500 K
0.2500 0.2500 0.2500 K
0.5000 0.5000 0.5000 Ir
0.0000 0.0000 0.0000 Sn
```

***

# KSn2Ir2

A relaxed structure of KSn2Ir2 (PBEsol, the Alexandria database).

For the volume, the calculation gives 112.0 Å³/cell. The calculation puts the formation energy from the elements at -0.075 eV per atom. Its space-group type is No. 139.

Structure (POSCAR):
```
KSn2Ir2
1.0
4.3385 0.0000 0.0000
0.0000 4.3385 0.0000
-2.1692 -2.1692 5.9488
Sn Ir K
2 2 1
direct
0.6294 0.6294 0.2588 Sn
0.3706 0.3706 0.7412 Sn
0.2500 0.7500 0.5000 Ir
0.7500 0.2500 0.5000 Ir
0.0000 0.0000 0.0000 K
```

***

# KSrIr2

A relaxed structure of KSrIr2 (PBEsol, the Alexandria database).

For the volume, the calculation gives 78.6 Å³/cell. The calculation puts the formation energy from the elements at 0.796 eV per atom. Its space-group type is No. 166.

Structure (POSCAR):
```
KSrIr2
1.0
-2.6997 1.0665 0.6997
-2.4462 -1.5804 -0.6587
-1.1833 -4.7747 9.0826
Sr Ir K
1 2 1
direct
0.0000 0.0000 0.0000 Sr
0.7458 0.7458 0.7627 Ir
0.2542 0.2542 0.2373 Ir
0.5000 0.5000 0.5000 K
```

***

# K2SrIr

A relaxed structure of K2SrIr (PBEsol, the Alexandria database).

The energy above the most stable polymorph in this dataset comes out at 0.000 eV per atom. For the volume, the calculation gives 155.6 Å³/cell. The calculation puts the formation energy from the elements at 0.392 eV per atom. Its space-group type is No. 99.

Structure (POSCAR):
```
K2SrIr
1.0
3.7204 0.0000 0.0000
0.0000 3.7204 0.0000
0.0000 0.0000 11.2411
K Sr Ir
2 1 1
direct
0.0000 0.0000 0.9062 K
0.5000 0.5000 0.2691 K
0.0000 0.0000 0.5995 Sr
0.5000 0.5000 0.7251 Ir
```

***

# KSrIr3

A relaxed structure of KSrIr3 (PBEsol, the Alexandria database).

For the volume, the calculation gives 109.3 Å³/cell. The calculation puts the formation energy from the elements at 2.356 eV per atom. Its space-group type is No. 221.

Structure (POSCAR):
```
KSrIr3
1.0
-3.4713 0.0164 -3.2874
-3.2866 -0.1290 3.4698
-0.0768 4.7792 0.1050
K Sr Ir
1 1 3
direct
0.0000 0.0000 0.0000 K
0.5000 0.5000 0.5000 Sr
0.0000 0.5000 0.0000 Ir
0.5000 0.0000 0.0000 Ir
0.0000 0.0000 0.5000 Ir
```

***

# KSr2Ir2

A relaxed structure of KSr2Ir2 (PBEsol, the Alexandria database).

For the volume, the calculation gives 148.8 Å³/cell. The calculation puts the formation energy from the elements at 0.444 eV per atom. Its space-group type is No. 139.

Structure (POSCAR):
```
KSr2Ir2
1.0
5.4091 0.0000 0.0000
0.0000 5.4091 0.0000
-2.7045 -2.7045 5.0870
Ir K Sr
2 1 2
direct
0.3806 0.3806 0.7612 Ir
0.6194 0.6194 0.2388 Ir
0.0000 0.0000 0.0000 K
0.7500 0.2500 0.5000 Sr
0.2500 0.7500 0.5000 Sr
```

***

# K2SrIr

A relaxed structure of K2SrIr (PBEsol, the Alexandria database).

The energy above the most stable polymorph in this dataset comes out at 0.647 eV per atom. For the volume, the calculation gives 138.4 Å³/cell. The calculation puts the formation energy from the elements at 1.039 eV per atom. Its space-group type is No. 166.

Structure (POSCAR):
```
K2SrIr
1.0
3.5244 0.0000 0.0000
1.7622 3.0522 0.0000
1.7622 1.0174 12.8691
Sr Ir K
1 1 2
direct
0.5000 0.5000 0.5000 Sr
0.0000 0.0000 0.0000 Ir
0.2725 0.2725 0.1826 K
0.7275 0.7275 0.8174 K
```

***

# K2SrIr

A relaxed structure of K2SrIr (PBEsol, the Alexandria database).

The energy above the most stable polymorph in this dataset comes out at 0.233 eV per atom. For the volume, the calculation gives 118.5 Å³/cell. The calculation puts the formation energy from the elements at 0.625 eV per atom. Its space-group type is No. 123.

Structure (POSCAR):
```
K2SrIr
1.0
4.5483 0.0000 0.0000
0.0000 4.5483 0.0000
0.0000 0.0000 5.7293
Sr K Ir
1 2 1
direct
0.5000 0.5000 0.5000 Sr
0.0000 0.5000 0.0000 K
0.5000 0.0000 0.0000 K
0.0000 0.0000 0.5000 Ir
```

***

# K2SrIr

A relaxed structure of K2SrIr (PBEsol, the Alexandria database).

The energy above the most stable polymorph in this dataset comes out at 0.168 eV per atom. For the volume, the calculation gives 113.2 Å³/cell. The calculation puts the formation energy from the elements at 0.559 eV per atom. Its space-group type is No. 216.

Structure (POSCAR):
```
K2SrIr
1.0
-0.7981 4.8176 2.3751
-2.9315 3.8156 -2.5169
-4.9219 1.3201 1.8761
Ir Sr K
1 1 2
direct
0.2500 0.2500 0.2500 Ir
0.5000 0.5000 0.5000 Sr
0.0000 0.0000 0.0000 K
0.7500 0.7500 0.7500 K
```

***

# KTaIr3

A relaxed structure of KTaIr3 (PBEsol, the Alexandria database).

For the volume, the calculation gives 112.0 Å³/cell. The calculation puts the formation energy from the elements at 1.306 eV per atom. Its space-group type is No. 221.

Structure (POSCAR):
```
KTaIr3
1.0
4.8199 0.0000 0.0000
0.0000 4.8199 0.0000
0.0000 0.0000 4.8199
Ta Ir K
1 3 1
direct
0.0000 0.0000 0.0000 Ta
0.0000 0.0000 0.5000 Ir
0.5000 0.0000 0.0000 Ir
0.0000 0.5000 0.0000 Ir
0.5000 0.5000 0.5000 K
```

***

# K2TaIr

A relaxed structure of K2TaIr (PBEsol, the Alexandria database).

The energy above the most stable polymorph in this dataset comes out at 0.000 eV per atom. For the volume, the calculation gives 85.1 Å³/cell. The calculation puts the formation energy from the elements at 0.893 eV per atom. Its space-group type is No. 47.

Structure (POSCAR):
```
K2TaIr
1.0
-2.6630 -0.7908 -2.4343
2.6928 -1.0551 -2.6030
-0.2101 -5.5579 2.0355
Ta Ir K
1 1 2
direct
0.5000 0.0000 0.5000 Ta
0.0000 0.5000 0.5000 Ir
0.0000 0.0000 0.0000 K
0.5000 0.5000 0.0000 K
```

***

# K2TaIr

A relaxed structure of K2TaIr (PBEsol, the Alexandria database).

The energy above the most stable polymorph in this dataset comes out at 0.189 eV per atom. For the volume, the calculation gives 84.5 Å³/cell. The calculation puts the formation energy from the elements at 1.081 eV per atom. Its space-group type is No. 65.

Structure (POSCAR):
```
K2TaIr
1.0
-1.1265 2.5884 0.1107
-1.6299 -2.1809 0.7535
3.7178 1.1337 11.3232
Ir K Ta
1 2 1
direct
0.5000 0.5000 0.0000 Ir
0.0000 0.0000 0.2225 K
0.0000 0.0000 0.7775 K
0.5000 0.5000 0.5000 Ta
```

***

# KTc2IrW

A relaxed structure of KTc2IrW (PBEsol, the Alexandria database).

For the volume, the calculation gives 110.1 Å³/cell. The calculation puts the formation energy from the elements at 1.972 eV per atom. Its space-group type is No. 123.

Structure (POSCAR):
```
KTc2IrW
1.0
-1.4179 3.3029 -3.2090
-4.3289 0.1084 2.0243
1.4598 3.4786 2.9354
Ir K Tc W
1 1 2 1
direct
0.0000 0.0000 0.0000 Ir
0.5000 0.5000 0.5000 K
0.0000 0.0000 0.5000 Tc
0.0000 0.5000 0.0000 Tc
0.5000 0.0000 0.0000 W
```

***

Number 1: final energy -3.79 eV per atom. Number 2: final energy -6.34 eV per atom. Number 3: final energy -3.11 eV per atom. Number 4: final energy -5.93 eV per atom. Number 5: final energy -4.86 eV per atom. Number 6: final energy -3.09 eV per atom. Number 7: final energy -4.13 eV per atom. Number 8: final energy -4.45 eV per atom. Number 9: final energy -2.44 eV per atom. Number 10: final energy -2.86 eV per atom. Number 11: final energy -2.92 eV per atom. Number 12: final energy -7.33 eV per atom. Number 13: final energy -5.27 eV per atom. Number 14: final energy -5.08 eV per atom. Number 15: final energy -7.49 eV per atom.